Compound: NiAs2SO
Source: Alexandria
Functional: PBE+U
Structure: relaxed

Computed properties:
size of the total moment = 0.00 μB/cell
calculated total energy = -3.07 eV per atom
ΔE to the lowest computed polymorph = 724 meV per atom

a b c (Å): 4.830 4.830 3.967
angles (deg): 90.00 90.00 90.00
Fractional positions:
1 Ni 0.000 0.000 0.000
2 As 0.000 0.500 0.500
3 As 0.500 0.000 0.500
4 S 0.000 0.000 0.500
5 O 0.500 0.500 0.000